Record 1
Th2CuOs2 | PBE | relaxed

Output
SG: Immm
Energy relative to the elements, eV/atom: -0.23
Crystal system: orthorhombic
Density of states at the Fermi level, states/eV/cell: 3.9

abc: 4.259 5.533 5.533
angles: 65.13 67.36 67.36
Fractional positions:
Os 0.000 0.246 0.254
Os 0.000 0.754 0.746
Th 0.298 0.202 0.702
Th 0.702 0.798 0.298
Cu 0.500 0.500 0.000


Record 2
Th4CuOs | PBE | relaxed

Output
SG: I4/mcm
Energy relative to the elements, eV/atom: -0.07
Crystal system: tetragonal
Density of states at the Fermi level, states/eV/cell: 15.7

abc: 6.957 6.957 8.313
angles: 114.74 114.74 90.00
Fractional positions:
Cu 0.500 0.500 0.000
Cu 0.000 0.000 0.000
Th 0.953 0.809 0.262
Th 0.047 0.191 0.738
Th 0.453 0.953 0.262
Th 0.547 0.047 0.738
Th 0.809 0.309 0.262
Th 0.309 0.453 0.262
Th 0.191 0.691 0.738
Th 0.691 0.547 0.738
Os 0.250 0.250 0.500
Os 0.750 0.750 0.500


Record 3
Th3CuOs | PBE | relaxed

Output
SG: P2_1/c
Energy relative to the elements, eV/atom: -0.09
Crystal system: monoclinic
Density of states at the Fermi level, states/eV/cell: 22.7

abc: 5.907 10.719 9.833
angles: 120.46 90.00 90.00
Fractional positions:
Cu 0.388 0.897 0.486
Cu 0.112 0.397 0.486
Cu 0.888 0.603 0.514
Cu 0.612 0.103 0.514
Th 0.588 0.313 0.398
Th 0.412 0.687 0.602
Th 0.912 0.813 0.398
Th 0.094 0.066 0.202
Th 0.906 0.934 0.798
Th 0.947 0.363 0.149
Th 0.053 0.637 0.851
Th 0.594 0.434 0.798
Th 0.447 0.137 0.851
Th 0.553 0.863 0.149
Th 0.088 0.187 0.602
Th 0.406 0.566 0.202
Os 0.678 0.108 0.092
Os 0.322 0.892 0.908
Os 0.178 0.392 0.908
Os 0.822 0.608 0.092


Record 4
Th3CuOs2 | PBE | relaxed

Output
SG: Pnma
Energy relative to the elements, eV/atom: -0.28
Crystal system: orthorhombic
Density of states at the Fermi level, states/eV/cell: 21.0

abc: 4.105 11.554 11.898
angles: 90.00 90.00 90.00
Fractional positions:
Os 0.250 0.007 0.324
Os 0.750 0.187 0.009
Os 0.250 0.687 0.491
Os 0.250 0.493 0.824
Os 0.750 0.313 0.509
Os 0.750 0.993 0.676
Os 0.750 0.507 0.176
Os 0.250 0.813 0.991
Cu 0.750 0.880 0.871
Cu 0.250 0.120 0.129
Cu 0.750 0.620 0.371
Cu 0.250 0.380 0.629
Th 0.750 0.628 0.941
Th 0.250 0.372 0.059
Th 0.750 0.931 0.122
Th 0.250 0.069 0.878
Th 0.750 0.872 0.441
Th 0.250 0.431 0.378
Th 0.250 0.128 0.559
Th 0.750 0.318 0.798
Th 0.750 0.569 0.622
Th 0.250 0.818 0.702
Th 0.250 0.682 0.202
Th 0.750 0.182 0.298


Record 5
TmThCuOs | PBE | relaxed

Output
SG: F-43m
Energy relative to the elements, eV/atom: -0.25
Crystal system: cubic
Density of states at the Fermi level, states/eV/cell: 4.2

abc: 4.939 4.939 4.939
angles: 60.00 60.00 60.00
Fractional positions:
Cu 0.250 0.250 0.250
Os 0.750 0.750 0.750
Tm 0.500 0.500 0.500
Th 0.000 0.000 0.000


Record 6
TiCuOs3 | PBE | relaxed

Output
SG: Pm-3m
Energy relative to the elements, eV/atom: 1.63
Crystal system: cubic
Density of states at the Fermi level, states/eV/cell: 9.6

abc: 4.408 4.408 4.408
angles: 90.00 90.00 90.00
Fractional positions:
Cu 0.000 0.000 0.000
Ti 0.500 0.500 0.500
Os 0.000 0.500 0.000
Os 0.000 0.000 0.500
Os 0.500 0.000 0.000


Record 7
TiCuOs3 | PBE | relaxed

Output
SG: Pm-3m
Energy relative to the elements, eV/atom: 1.97
Crystal system: cubic
Density of states at the Fermi level, states/eV/cell: 4.6

abc: 4.532 4.532 4.532
angles: 90.00 90.00 90.00
Site moments in Bohr magnetons follow the coordinates.
Fractional positions:
Os 0.000 0.000 0.500  0.41
Os 0.000 0.500 0.000  0.56
Os 0.500 0.000 0.000  0.62
Ti 0.000 0.000 0.000  -0.08
Cu 0.500 0.500 0.500  0.11


Record 8
Ti4CuOs3 | PBE | relaxed

Output
SG: Pmmm
Energy relative to the elements, eV/atom: -0.54
Crystal system: orthorhombic
Density of states at the Fermi level, states/eV/cell: 5.3

abc: 3.089 4.374 8.754
angles: 90.00 90.00 90.00
Fractional positions:
Ti 0.000 0.000 0.500
Ti 0.000 0.000 0.000
Ti 0.000 0.500 0.750
Ti 0.000 0.500 0.250
Os 0.500 0.000 0.751
Os 0.500 0.500 0.500
Os 0.500 0.000 0.249
Cu 0.500 0.500 0.000


Record 9
TiCuOs | PBE | relaxed

Output
SG: C2/m
Energy relative to the elements, eV/atom: -0.08
Crystal system: monoclinic
Density of states at the Fermi level, states/eV/cell: 2.4

abc: 2.920 5.213 6.261
angles: 97.15 90.00 106.26
Fractional positions:
Ti 0.441 0.882 0.741
Ti 0.559 0.118 0.259
Cu 0.709 0.417 0.639
Cu 0.291 0.583 0.361
Os 0.138 0.275 0.965
Os 0.862 0.725 0.035


Record 10
TiCu3Os | PBE | relaxed

Output
SG: Pm-3m
Energy relative to the elements, eV/atom: 1.31
Crystal system: cubic
Density of states at the Fermi level, states/eV/cell: 6.7

abc: 4.557 4.557 4.557
angles: 90.00 90.00 90.00
Fractional positions:
Cu 0.000 0.000 0.500
Cu 0.500 0.000 0.000
Cu 0.000 0.500 0.000
Os 0.000 0.000 0.000
Ti 0.500 0.500 0.500


Record 11
YTiCuOs | PBE | relaxed

Output
SG: F-43m
Energy relative to the elements, eV/atom: -0.15
Crystal system: cubic
Density of states at the Fermi level, states/eV/cell: 3.6

abc: 4.627 4.627 4.627
angles: 60.00 60.00 60.00
Fractional positions:
Ti 0.250 0.250 0.250
Os 0.000 0.000 0.000
Y 0.750 0.750 0.750
Cu 0.500 0.500 0.500


Record 12
ZrTi2CuOs | PBE | relaxed

Output
SG: P4/mmm
Energy relative to the elements, eV/atom: 0.69
Crystal system: tetragonal
Density of states at the Fermi level, states/eV/cell: 8.6

abc: 4.439 4.730 4.439
angles: 90.00 90.00 90.00
Fractional positions:
Zr 0.500 0.500 0.500
Ti 0.500 0.000 0.000
Ti 0.000 0.000 0.500
Os 0.000 0.500 0.000
Cu 0.000 0.000 0.000


Record 13
Tl3CuOs | PBE | relaxed

Output
SG: Pm-3m
Energy relative to the elements, eV/atom: 0.82
Crystal system: cubic
Density of states at the Fermi level, states/eV/cell: 3.7

abc: 5.293 5.293 5.293
angles: 90.00 90.00 90.00
Fractional positions:
Os 0.000 0.000 0.000
Cu 0.500 0.500 0.500
Tl 0.000 0.000 0.500
Tl 0.000 0.500 0.000
Tl 0.500 0.000 0.000


Record 14
TlCu2Os | PBE | relaxed

Output
SG: P4/mmm
Energy relative to the elements, eV/atom: 0.60
Crystal system: tetragonal
Density of states at the Fermi level, states/eV/cell: 3.8

abc: 2.827 2.827 8.232
angles: 90.00 90.00 89.93
Site moments in Bohr magnetons follow the coordinates.
Fractional positions:
Tl 0.500 0.500 0.750  0.00
Cu 0.000 0.000 0.457  0.02
Cu 0.000 0.000 0.043  0.02
Os 0.500 0.500 0.250  0.29


Record 15
TlCu2Os | PBE | relaxed

Output
SG: F-43m
Energy relative to the elements, eV/atom: 0.72
Crystal system: cubic
Density of states at the Fermi level, states/eV/cell: 3.1

abc: 4.447 4.447 4.447
angles: 60.00 60.00 60.00
Fractional positions:
Os 0.500 0.500 0.500
Cu 0.250 0.250 0.250
Cu 0.000 0.000 0.000
Tl 0.750 0.750 0.750


Record 16
Tl2CuOs | PBE | relaxed

Output
SG: R-3m
Energy relative to the elements, eV/atom: 0.83
Crystal system: trigonal
Density of states at the Fermi level, states/eV/cell: 3.6

abc: 8.936 8.936 8.936
angles: 20.43 20.43 20.43
Fractional positions:
Tl 0.999 0.999 0.999
Tl 0.501 0.501 0.501
Cu 0.250 0.250 0.250
Os 0.750 0.750 0.750


Record 17
Tl4CuOs | PBE | relaxed

Output
SG: F-43m
Energy relative to the elements, eV/atom: 1.32
Crystal system: cubic
Density of states at the Fermi level, states/eV/cell: 6.8

abc: 6.073 6.073 6.073
angles: 60.00 60.00 60.00
Site moments in Bohr magnetons follow the coordinates.
Fractional positions:
Tl 0.375 0.876 0.375  -0.02
Tl 0.375 0.375 0.876  -0.02
Tl 0.375 0.375 0.375  -0.02
Tl 0.876 0.375 0.375  -0.02
Os 0.000 0.000 0.000  1.82
Cu 0.750 0.750 0.750  -0.01


Record 18
Tl2CuOs | PBE | relaxed

Output
SG: Fm-3m
Energy relative to the elements, eV/atom: 0.86
Crystal system: cubic
Density of states at the Fermi level, states/eV/cell: 2.2

abc: 4.727 4.727 4.727
angles: 60.00 60.00 60.00
Fractional positions:
Tl 0.250 0.250 0.250
Tl 0.750 0.750 0.750
Cu 0.000 0.000 0.000
Os 0.500 0.500 0.500


Record 19
Tl2CuOs | PBE | relaxed

Output
SG: I-42d
Energy relative to the elements, eV/atom: 1.11
Crystal system: tetragonal
Density of states at the Fermi level, states/eV/cell: 11.2

abc: 4.230 4.230 9.848
angles: 77.60 77.60 90.00
Fractional positions:
Tl 0.875 0.878 0.750
Tl 0.375 0.372 0.750
Tl 0.122 0.625 0.250
Tl 0.628 0.125 0.250
Os 0.000 0.000 0.000
Os 0.750 0.250 0.500
Cu 0.500 0.500 0.000
Cu 0.250 0.750 0.500


Record 20
Tl2CuOs | PBE | relaxed

Output
SG: Pm
Energy relative to the elements, eV/atom: 0.67
Crystal system: monoclinic
Density of states at the Fermi level, states/eV/cell: 2.0

abc: 4.261 3.525 5.469
angles: 71.18 90.00 90.00
Fractional positions:
Os 0.500 0.552 0.771
Tl 0.500 0.275 0.322
Tl 0.000 0.978 0.919
Cu 0.000 0.695 0.487